Density functional theory data (SCAN) for PrCrGe3 at its PBEsol-relaxed geometry.

CIF file:
```
data_PrCrGe3
_chemical_formula_sum 'Pr2 Cr2 Ge6'
_cell_length_a 6.0891
_cell_length_b 6.0891
_cell_length_c 5.6432
_cell_angle_alpha 90.00
_cell_angle_beta 90.00
_cell_angle_gamma 120.00
_space_group_name_H-M_alt 'P 63/m m c'
_space_group_IT_number 194
_space_group_name_Hall '-P 6c 2c'
loop_
_atom_site_label
_atom_site_type_symbol
_atom_site_fract_x
_atom_site_fract_y
_atom_site_fract_z
Pr1 Pr 0.3333 0.6667 0.2500
Cr1 Cr 0.0000 0.0000 0.0000
Ge1 Ge 0.1917 0.3834 0.7500
```

E_form = -0.497 eV per atom
calculated density = 7.53 g/cm3
magnetization = 0.32 μB per atom
volume = 181 Å³ per cell